Compound: LuPaFeOs
Source: the Alexandria database
Functional: PBE-GGA
Structure: relaxed

Calculated values
The formation energy comes out at -182.7 meV/atom.

Structure (CIF):
```
data_LuPaFeOs
_chemical_formula_sum 'Lu4 Pa4 Fe4 Os4'
_cell_length_a 6.736
_cell_length_b 6.736
_cell_length_c 6.736
_cell_angle_alpha 90.00
_cell_angle_beta 90.00
_cell_angle_gamma 90.00
_space_group_name_H-M_alt 'F -4 3 m'
_space_group_IT_number 216
_space_group_name_Hall 'F -4 2 3'
loop_
_atom_site_label
_atom_site_type_symbol
_atom_site_fract_x
_atom_site_fract_y
_atom_site_fract_z
_atom_site_occupancy
Lu1 Lu 0.000 0.000 0.000 1
Pa1 Pa 0.000 0.000 0.500 1
Fe1 Fe 0.250 0.250 0.750 1
Os1 Os 0.250 0.250 0.250 1
```

---

Compound: LuScFeOs
Source: the Alexandria database
Functional: PBE-GGA
Structure: relaxed

Calculated values
The formation energy comes out at -137.9 meV/atom.

Structure (CIF):
```
data_LuScFeOs
_chemical_formula_sum 'Lu4 Sc4 Fe4 Os4'
_cell_length_a 6.542
_cell_length_b 6.542
_cell_length_c 6.542
_cell_angle_alpha 90.00
_cell_angle_beta 90.00
_cell_angle_gamma 90.00
_space_group_name_H-M_alt 'F -4 3 m'
_space_group_IT_number 216
_space_group_name_Hall 'F -4 2 3'
loop_
_atom_site_label
_atom_site_type_symbol
_atom_site_fract_x
_atom_site_fract_y
_atom_site_fract_z
_atom_site_occupancy
Lu1 Lu 0.000 0.000 0.000 1
Sc1 Sc 0.000 0.000 0.500 1
Fe1 Fe 0.250 0.250 0.750 1
Os1 Os 0.250 0.250 0.250 1
```

---

Compound: LuTaFeOs
Source: the Alexandria database
Functional: PBE-GGA
Structure: relaxed

Calculated values
The formation energy comes out at -214.9 meV/atom.

Structure (CIF):
```
data_LuTaFeOs
_chemical_formula_sum 'Lu4 Ta4 Fe4 Os4'
_cell_length_a 6.402
_cell_length_b 6.402
_cell_length_c 6.402
_cell_angle_alpha 90.00
_cell_angle_beta 90.00
_cell_angle_gamma 90.00
_space_group_name_H-M_alt 'F -4 3 m'
_space_group_IT_number 216
_space_group_name_Hall 'F -4 2 3'
loop_
_atom_site_label
_atom_site_type_symbol
_atom_site_fract_x
_atom_site_fract_y
_atom_site_fract_z
_atom_site_occupancy
Lu1 Lu 0.000 0.000 0.000 1
Ta1 Ta 0.000 0.000 0.500 1
Fe1 Fe 0.250 0.250 0.250 1
Os1 Os 0.250 0.250 0.750 1
```

---

Compound: LuThFeOs
Source: the Alexandria database
Functional: PBE-GGA
Structure: relaxed

Calculated values
The formation energy comes out at -127.9 meV/atom.

Structure (CIF):
```
data_LuThFeOs
_chemical_formula_sum 'Lu4 Th4 Fe4 Os4'
_cell_length_a 6.868
_cell_length_b 6.868
_cell_length_c 6.868
_cell_angle_alpha 90.00
_cell_angle_beta 90.00
_cell_angle_gamma 90.00
_space_group_name_H-M_alt 'F -4 3 m'
_space_group_IT_number 216
_space_group_name_Hall 'F -4 2 3'
loop_
_atom_site_label
_atom_site_type_symbol
_atom_site_fract_x
_atom_site_fract_y
_atom_site_fract_z
_atom_site_occupancy
Lu1 Lu 0.000 0.000 0.000 1
Th1 Th 0.000 0.000 0.500 1
Fe1 Fe 0.250 0.250 0.250 1
Os1 Os 0.250 0.250 0.750 1
```